Here is an optimized crystal structure of CsLuFeTe3 from OQMD. Energies are from PBE-GGA.

a b c (Å): 11.3526 4.3453 17.2843
angles (deg): 90.00 90.00 90.00
Fractional coordinates of all 24 atoms:
Cs 0.2481 0.2500 0.0043
Cs 0.2519 0.7500 0.5043
Cs 0.7481 0.2500 0.4957
Cs 0.7519 0.7500 0.9957
Lu 0.0093 0.7500 0.2484
Lu 0.4907 0.2500 0.7484
Lu 0.5093 0.7500 0.2516
Lu 0.9907 0.2500 0.7516
Fe 0.2408 0.7500 0.7810
Fe 0.2592 0.2500 0.2810
Fe 0.7408 0.7500 0.7190
Fe 0.7592 0.2500 0.2190
Te 0.0519 0.7500 0.8676
Te 0.0675 0.2500 0.3648
Te 0.2398 0.2500 0.6894
Te 0.2602 0.7500 0.1894
Te 0.4325 0.7500 0.8648
Te 0.4481 0.2500 0.3676
Te 0.5519 0.7500 0.6324
Te 0.5675 0.2500 0.1352
Te 0.7398 0.2500 0.8106
Te 0.7602 0.7500 0.3106
Te 0.9325 0.7500 0.6352
Te 0.9481 0.2500 0.1324

Output
Total moment ... 0.665 μB per atom
Offset from the most stable computed form ... 20 meV per atom
Calculated density ... 5.82 g/cm3


Here is an optimized crystal structure of CsLuFeTe3 from OQMD. Energies are from PBE-GGA.

a b c (Å): 9.9107 4.2920 11.3643
angles (deg): 90.00 114.35 90.00
Fractional coordinates of all 12 atoms:
Cs 0.2359 0.2500 0.2730
Cs 0.7641 0.7500 0.7270
Lu 0.3330 0.7500 0.8534
Lu 0.6670 0.2500 0.1466
Fe 0.0664 0.2500 0.5784
Fe 0.9336 0.7500 0.4216
Te 0.1071 0.2500 0.8238
Te 0.2219 0.7500 0.5557
Te 0.4507 0.7500 0.1411
Te 0.5493 0.2500 0.8589
Te 0.7781 0.2500 0.4443
Te 0.8929 0.7500 0.1762

Output
Total moment ... 0.623 μB per atom
Offset from the most stable computed form ... 6 meV per atom
Calculated density ... 5.63 g/cm3


Here is an optimized crystal structure of CsLuFeTe3 from OQMD. Energies are from PBE-GGA.

a b c (Å): 9.5597 9.5597 9.8637
angles (deg): 100.50 100.50 27.33
Fractional coordinates of all 12 atoms:
Cs 0.1550 0.1550 0.0608
Cs 0.8450 0.8450 0.9392
Lu 0.1661 0.1661 0.5685
Lu 0.8339 0.8339 0.4315
Fe 0.4995 0.4995 0.2769
Fe 0.5005 0.5005 0.7231
Te 0.0000 0.0000 0.5000
Te 0.3354 0.3354 0.6392
Te 0.3506 0.3506 0.2399
Te 0.5000 0.5000 0.0000
Te 0.6494 0.6494 0.7601
Te 0.6646 0.6646 0.3608

Output
Total moment ... 0.667 μB per atom
Offset from the most stable computed form ... 242 meV per atom
Calculated density ... 6.10 g/cm3


Here is an optimized crystal structure of CsLuFeTe3 from OQMD. Energies are from PBE-GGA.

a b c (Å): 11.4129 4.4619 16.2202
angles (deg): 90.00 90.00 90.00
Fractional coordinates of all 24 atoms:
Cs 0.0379 0.2500 0.1647
Cs 0.4621 0.7500 0.6647
Cs 0.5379 0.2500 0.3353
Cs 0.9621 0.7500 0.8353
Lu 0.1521 0.7500 0.4370
Lu 0.3479 0.2500 0.9370
Lu 0.6521 0.7500 0.0630
Lu 0.8479 0.2500 0.5630
Fe 0.1511 0.2500 0.6287
Fe 0.3489 0.7500 0.1287
Fe 0.6511 0.2500 0.8713
Fe 0.8489 0.7500 0.3713
Te 0.0256 0.7500 0.6075
Te 0.1983 0.7500 0.0064
Te 0.2291 0.2500 0.7767
Te 0.2709 0.7500 0.2767
Te 0.3017 0.2500 0.5064
Te 0.4744 0.2500 0.1075
Te 0.5256 0.7500 0.8925
Te 0.6983 0.7500 0.4936
Te 0.7291 0.2500 0.7233
Te 0.7709 0.7500 0.2233
Te 0.8017 0.2500 0.9936
Te 0.9744 0.2500 0.3925

Output
Total moment ... 0.667 μB per atom
Offset from the most stable computed form ... 103 meV per atom
Calculated density ... 6.00 g/cm3